Run P
Below is SrZrSb2Te after structural relaxation, with properties calculated at the PBE level.

Unit cell a=5.7961 b=5.7961 c=5.8623 alpha=90.00 beta=90.00 gamma=90.00
Last column: nearest neighbours and their distance in Å.
Space group P4/mmm (No. 123)
Inequivalent atoms, fractional coordinates:
Sr1 0.0000 0.0000 0.0000 (multiplicity 1)  4 Sb 2.90, 2 Te 2.93
Zr1 0.5000 0.5000 0.5000 (multiplicity 1)  4 Te 4.10, 8 Sb 4.12
Sb1 0.0000 0.5000 0.0000 (multiplicity 2)  2 Sr 2.90
Te1 0.0000 0.0000 0.5000 (multiplicity 1)  2 Sr 2.93

***

Run Q
Below is SrZrSb2Te after structural relaxation, with properties calculated at the PBE level.

Unit cell a=5.5967 b=5.5967 c=5.6337 alpha=90.00 beta=90.00 gamma=90.00
Last column: nearest neighbours and their distance in Å.
Space group P4/mmm (No. 123)
Inequivalent atoms, fractional coordinates:
Sr1 0.0000 0.0000 0.0000 (multiplicity 1)  4 Te 3.96, 8 Sb 3.97
Zr1 0.5000 0.5000 0.5000 (multiplicity 1)  4 Sb 2.80, 2 Te 2.82
Sb1 0.0000 0.5000 0.5000 (multiplicity 2)  2 Zr 2.80
Te1 0.5000 0.5000 0.0000 (multiplicity 1)  2 Zr 2.82

***

On energetic grounds, run Q is preferred over the next structure by 134.9 kJ/mol of atoms.

***

Run P
Below is SrTi3Sb after structural relaxation, with properties calculated at the PBE level.

Unit cell a=4.8424 b=4.8424 c=4.8424 alpha=90.00 beta=90.00 gamma=90.00
Last column: nearest neighbours and their distance in Å.
Space group Pm-3m (No. 221)
Inequivalent atoms, fractional coordinates:
Sr1 0.0000 0.0000 0.0000 (multiplicity 1)  6 Ti 2.42
Ti1 0.0000 0.0000 0.5000 (multiplicity 3)  2 Sr 2.42
Sb1 0.5000 0.5000 0.5000 (multiplicity 1)  12 Ti 3.42

***

Run Q
Below is SrTi3Sb after structural relaxation, with properties calculated at the PBE level.

Unit cell a=5.1862 b=5.1862 c=5.1862 alpha=90.00 beta=90.00 gamma=90.00
Last column: nearest neighbours and their distance in Å.
Space group Pm-3m (No. 221)
Inequivalent atoms, fractional coordinates:
Sr1 0.0000 0.0000 0.0000 (multiplicity 1)  12 Ti 3.67
Ti1 0.0000 0.5000 0.5000 (multiplicity 3)  2 Sb 2.59
Sb1 0.5000 0.5000 0.5000 (multiplicity 1)  6 Ti 2.59

***

On energetic grounds, run Q is preferred over the next structure by 102.6 kJ/mol of atoms.

***

Run P
Below is SrTiSb3 after structural relaxation, with properties calculated at the PBE level.

Unit cell a=5.3487 b=5.3487 c=5.3487 alpha=90.00 beta=90.00 gamma=90.00
Last column: nearest neighbours and their distance in Å.
Space group Pm-3m (No. 221)
Inequivalent atoms, fractional coordinates:
Sr1 0.0000 0.0000 0.0000 (multiplicity 1)  12 Sb 3.78
Ti1 0.5000 0.5000 0.5000 (multiplicity 1)  6 Sb 2.67
Sb1 0.0000 0.5000 0.5000 (multiplicity 3)  2 Ti 2.67

***

Run Q
Below is SrTiSb3 after structural relaxation, with properties calculated at the PBE level.

Unit cell a=5.8259 b=5.8259 c=5.8259 alpha=90.00 beta=90.00 gamma=90.00
Last column: nearest neighbours and their distance in Å.
Space group Pm-3m (No. 221)
Inequivalent atoms, fractional coordinates:
Sr1 0.0000 0.0000 0.0000 (multiplicity 1)  6 Sb 2.91
Ti1 0.5000 0.5000 0.5000 (multiplicity 1)  12 Sb 4.12
Sb1 0.0000 0.0000 0.5000 (multiplicity 3)  2 Sr 2.91

***

On energetic grounds, run P is preferred over the next structure by 154.7 kJ/mol of atoms.

***

Run P
Below is SrTlSb2 after structural relaxation, with properties calculated at the PBE level.

Unit cell a=8.8727 b=8.8727 c=6.6967 alpha=90.00 beta=90.00 gamma=90.00
Last column: nearest neighbours and their distance in Å.
Space group I-42d (No. 122)
Inequivalent atoms, fractional coordinates:
Sr1 0.0000 0.0000 0.0000 (multiplicity 4)  2 Tl 3.35, 4 Sb 3.38
Tl1 0.0000 0.0000 0.5000 (multiplicity 4)  4 Sb 3.12, 2 Sr 3.35
Sb1 0.2281 0.2500 0.6250 (multiplicity 8)  2 Tl 3.12, 2 Sb 3.37, 2 Sr 3.38

***

Run Q
Below is SrTlSb2 after structural relaxation, with properties calculated at the PBE level.

Unit cell a=4.9512 b=4.9512 c=4.9517 alpha=90.00 beta=90.00 gamma=90.00
Last column: nearest neighbours and their distance in Å.
Space group P4mm (No. 99)
Inequivalent atoms, fractional coordinates:
Sr1 0.0000 0.0000 0.0000 (multiplicity 1)  8 Sb 3.50, 4 Tl 3.50
Tl1 0.5000 0.5000 0.0011 (multiplicity 1)  8 Sb 3.50, 4 Sr 3.50
Sb1 0.0000 0.5000 0.5001 (multiplicity 2)  4 Tl 3.50, 4 Sr 3.50, 4 Sb 3.50

***

Run R
Below is SrTlSb2 after structural relaxation, with properties calculated at the PBE level.

Unit cell a=4.1198 b=5.4416 c=11.2776 alpha=90.00 beta=90.00 gamma=90.00
Last column: nearest neighbours and their distance in Å.
Space group Imm2 (No. 44)
Inequivalent atoms, fractional coordinates:
Sr1 0.0000 0.0000 0.0000 (multiplicity 2)  8 Sb 3.42-3.76, 4 Tl 3.67-3.77
Tl1 0.0000 0.5000 0.7691 (multiplicity 2)  6 Sb 3.45-3.51, 4 Sr 3.67-3.77
Sb1 0.0000 0.0000 0.5216 (multiplicity 2)  2 Sb 3.05
Sb2 0.0000 0.5000 0.2215 (multiplicity 2)  2 Sb 3.05

***

Run S
Below is SrTlSb2 after structural relaxation, with properties calculated at the PBE level.

Unit cell a=4.2514 b=4.2514 c=26.4029 alpha=90.00 beta=90.00 gamma=120.00
Last column: nearest neighbours and their distance in Å.
Space group R3m (No. 160, hexagonal axes)
Inequivalent atoms, fractional coordinates:
Sr1 0.0000 0.0000 0.0000 (multiplicity 3)  3 Sb 3.41, 3 Tl 3.53
Tl1 0.0000 0.0000 0.7630 (multiplicity 3)  3 Sb 3.25, 3 Sr 3.53
Sb1 0.0000 0.0000 0.2439 (multiplicity 3)  3 Sb 3.02
Sb2 0.0000 0.0000 0.5104 (multiplicity 3)  3 Sb 3.02, 3 Tl 3.25

***

On energetic grounds, run Q is preferred over the next structure by 5.1 kJ/mol of atoms.

***

Run P
Below is SrTlSb2 after structural relaxation, with properties calculated at the PBE level.

Unit cell a=11.6632 b=4.1982 c=5.4904 alpha=90.00 beta=110.48 gamma=90.00
Last column: nearest neighbours and their distance in Å.
Space group Cm (No. 8)
Inequivalent atoms, fractional coordinates:
Sr1 0.0000 0.0000 0.0000 (multiplicity 2)  8 Sb 3.42-3.73, 3 Tl 3.50-3.60
Tl1 0.2346 0.0000 0.7391 (multiplicity 2)  5 Sb 3.26-3.65, 3 Sr 3.50-3.60
Sb1 0.2758 0.5000 0.3221 (multiplicity 2)  2 Sb 3.08, 2 Tl 3.26
Sb2 0.4826 0.0000 0.4786 (multiplicity 2)  2 Sb 3.08, 2 Sr 3.42

***

Run Q
Below is SrTlSb2 after structural relaxation, with properties calculated at the PBE level.

Unit cell a=4.2173 b=4.2173 c=7.0311 alpha=90.00 beta=90.00 gamma=90.00
Last column: nearest neighbours and their distance in Å.
Space group P4mm (No. 99)
Inequivalent atoms, fractional coordinates:
Sr1 0.0000 0.0000 0.0000 (multiplicity 1)  6 Sb 3.36-3.67, 4 Tl 3.59
Tl1 0.5000 0.5000 0.2849 (multiplicity 1)  5 Sb 3.07-3.42
Sb1 0.0000 0.0000 0.5222 (multiplicity 1)  4 Sb 3.29, 2 Sr 3.36-3.67, 4 Tl 3.42
Sb2 0.5000 0.5000 0.7213 (multiplicity 1)  1 Tl 3.07, 4 Sb 3.29

***

On energetic grounds, run P is preferred over the next structure by 11.4 kJ/mol of atoms.

***

Run P
Below is SrTlSb after structural relaxation, with properties calculated at the PBE level.

Unit cell a=4.8204 b=4.8204 c=5.1973 alpha=90.00 beta=90.00 gamma=120.00
Last column: nearest neighbours and their distance in Å.
Space group P3m1 (No. 156)
Inequivalent atoms, fractional coordinates:
Sr1 0.0000 0.0000 0.0000 (multiplicity 1)  3 Sb 3.33, 3 Tl 3.42
Tl1 0.6667 0.3333 0.3829 (multiplicity 1)  3 Sb 3.11, 3 Sr 3.42
Sb1 0.3333 0.6667 0.6490 (multiplicity 1)  3 Tl 3.11, 3 Sr 3.33

***

Run Q
Below is SrTlSb after structural relaxation, with properties calculated at the PBE level.

Unit cell a=4.5684 b=9.1801 c=9.9613 alpha=90.00 beta=90.00 gamma=90.00
Last column: nearest neighbours and their distance in Å.
Space group Imm2 (No. 44)
Inequivalent atoms, fractional coordinates:
Sr1 0.0000 0.0000 0.0000 (multiplicity 2)  4 Sb 3.40, 4 Tl 3.60
Sr2 0.0000 0.5000 0.0811 (multiplicity 2)  4 Sb 3.56, 2 Tl 3.88
Tl1 0.0000 0.3234 0.7275 (multiplicity 4)  3 Sb 3.04-3.16, 1 Tl 3.24
Sb1 0.0000 0.2403 0.4196 (multiplicity 4)  3 Tl 3.04-3.16, 2 Sr 3.40

***

On energetic grounds, run P is preferred over the next structure by 6.4 kJ/mol of atoms.

***

Run P
Below is SrTlSb after structural relaxation, with properties calculated at the PBE level.

Unit cell a=8.2891 b=5.0020 c=10.5927 alpha=90.00 beta=90.00 gamma=90.00
Last column: nearest neighbours and their distance in Å.
Space group Pnma (No. 62)
Inequivalent atoms, fractional coordinates:
Sr1 0.1412 0.2500 0.1563 (multiplicity 4)  5 Sb 3.43-3.59, 1 Tl 3.84
Tl1 0.0064 0.7500 0.4216 (multiplicity 4)  2 Sb 2.97-3.04, 2 Tl 3.00
Sb1 0.1446 0.2500 0.8322 (multiplicity 4)  2 Tl 2.97-3.04

***

Run Q
Below is SrTlSb after structural relaxation, with properties calculated at the PBE level.

Unit cell a=7.6868 b=7.6868 c=7.6868 alpha=90.00 beta=90.00 gamma=90.00
Last column: nearest neighbours and their distance in Å.
Space group F-43m (No. 216)
Inequivalent atoms, fractional coordinates:
Sr1 0.0000 0.0000 0.0000 (multiplicity 4)  4 Tl 3.33, 4 Sb 3.33
Tl1 0.2500 0.2500 0.2500 (multiplicity 4)  4 Sr 3.33
Sb1 0.2500 0.2500 0.7500 (multiplicity 4)  4 Sr 3.33

***

On energetic grounds, run P is preferred over the next structure by 18.4 kJ/mol of atoms.

***

Run P
Below is SrTlSb after structural relaxation, with properties calculated at the PBE level.

Unit cell a=6.7682 b=6.9937 c=9.1208 alpha=90.00 beta=101.98 gamma=90.00
Last column: nearest neighbours and their distance in Å.
Space group C2/m (No. 12)
Inequivalent atoms, fractional coordinates:
Sr1 0.2119 0.0000 0.3399 (multiplicity 4)  5 Sb 3.36-3.53, 2 Tl 3.57
Tl1 0.0000 0.2451 0.0000 (multiplicity 4)  2 Sb 3.19, 4 Tl 3.38-3.56, 2 Sr 3.57
Sb1 0.1947 0.5000 0.2837 (multiplicity 4)  2 Tl 3.19, 5 Sr 3.36-3.53

***

Run Q
Below is SrTlSb after structural relaxation, with properties calculated at the PBE level.

Unit cell a=4.6162 b=4.6162 c=9.6721 alpha=90.00 beta=90.00 gamma=90.00
Last column: nearest neighbours and their distance in Å.
Space group I4mm (No. 107)
Inequivalent atoms, fractional coordinates:
Sr1 0.0000 0.0000 0.0000 (multiplicity 2)  1 Tl 3.14, 1 Sb 3.40
Tl1 0.0000 0.0000 0.3251 (multiplicity 2)  1 Sb 3.13, 1 Sr 3.14
Sb1 0.0000 0.0000 0.6488 (multiplicity 2)  1 Tl 3.13, 1 Sr 3.40

***

Run R
Below is SrTlSb after structural relaxation, with properties calculated at the PBE level.

Unit cell a=7.8821 b=7.8821 c=7.8821 alpha=90.00 beta=90.00 gamma=90.00
Last column: nearest neighbours and their distance in Å.
Space group F-43m (No. 216)
Inequivalent atoms, fractional coordinates:
Sr1 0.0000 0.0000 0.0000 (multiplicity 4)  4 Sb 3.41
Tl1 0.0000 0.0000 0.5000 (multiplicity 4)  4 Sb 3.41
Sb1 0.2500 0.2500 0.7500 (multiplicity 4)  4 Tl 3.41, 4 Sr 3.41

***

On energetic grounds, run P is preferred over the next structure by 8.2 kJ/mol of atoms.

***

Run P
Below is SrTl3Sb after structural relaxation, with properties calculated at the PBE level.

Unit cell a=5.8924 b=5.8924 c=5.8924 alpha=90.00 beta=90.00 gamma=90.00
Last column: nearest neighbours and their distance in Å.
Space group Pm-3m (No. 221)
Inequivalent atoms, fractional coordinates:
Sr1 0.0000 0.0000 0.0000 (multiplicity 1)  12 Tl 4.17
Tl1 0.0000 0.5000 0.5000 (multiplicity 3)  2 Sb 2.95
Sb1 0.5000 0.5000 0.5000 (multiplicity 1)  6 Tl 2.95

***

Run Q
Below is SrTl3Sb after structural relaxation, with properties calculated at the PBE level.

Unit cell a=6.0991 b=6.0991 c=6.0991 alpha=90.00 beta=90.00 gamma=90.00
Last column: nearest neighbours and their distance in Å.
Space group Pm-3m (No. 221)
Inequivalent atoms, fractional coordinates:
Sr1 0.0000 0.0000 0.0000 (multiplicity 1)  6 Tl 3.05
Tl1 0.0000 0.0000 0.5000 (multiplicity 3)  2 Sr 3.05
Sb1 0.5000 0.5000 0.5000 (multiplicity 1)  12 Tl 4.31

***

On energetic grounds, run P is preferred over the next structure by 44.2 kJ/mol of atoms.

***

Run P
Below is Sr2TlSb2 after structural relaxation, with properties calculated at the PBE level.

Unit cell a=4.8925 b=7.3995 c=9.4689 alpha=90.00 beta=90.00 gamma=90.00
Last column: nearest neighbours and their distance in Å.
Space group Immm (No. 71)
Inequivalent atoms, fractional coordinates:
Sr1 0.0000 0.0000 0.2122 (multiplicity 4)  6 Sb 3.50-3.51, 2 Tl 3.66
Tl1 0.0000 0.5000 0.0000 (multiplicity 2)  4 Sb 3.30, 4 Sr 3.66
Sb1 0.0000 0.2984 0.5000 (multiplicity 4)  1 Sb 2.98, 2 Tl 3.30

***

Run Q
Below is Sr2TlSb2 after structural relaxation, with properties calculated at the PBE level.

Unit cell a=9.5891 b=9.5891 c=3.7889 alpha=90.00 beta=90.00 gamma=90.00
Last column: nearest neighbours and their distance in Å.
Space group P4/mbm (No. 127)
Inequivalent atoms, fractional coordinates:
Sr1 0.1355 0.3645 0.0000 (multiplicity 4)  6 Sb 3.30-3.46, 1 Sr 3.67
Tl1 0.0000 0.0000 0.0000 (multiplicity 2)  4 Sr 3.73, 2 Tl 3.79, 8 Sb 4.05
Sb1 0.1648 0.6648 0.5000 (multiplicity 4)  6 Sr 3.30-3.46

***

On energetic grounds, run P is preferred over the next structure by 7.3 kJ/mol of atoms.

***

Run P
Below is Sr2TlSb2 after structural relaxation, with properties calculated at the PBE level.

Unit cell a=9.6811 b=9.6811 c=3.7428 alpha=90.00 beta=90.00 gamma=90.00
Last column: nearest neighbours and their distance in Å.
Space group P4/mbm (No. 127)
Inequivalent atoms, fractional coordinates:
Sr1 0.1398 0.3602 0.0000 (multiplicity 4)  6 Sb 3.33-3.45
Tl1 0.0000 0.0000 0.5000 (multiplicity 2)  4 Sb 3.64, 2 Tl 3.74
Sb1 0.1593 0.6593 0.5000 (multiplicity 4)  6 Sr 3.33-3.45, 2 Tl 3.64

***

Run Q
Below is Sr2TlSb2 after structural relaxation, with properties calculated at the PBE level.

Unit cell a=5.7565 b=5.7565 c=12.2505 alpha=90.00 beta=90.00 gamma=90.00
Last column: nearest neighbours and their distance in Å.
Space group I4/mmm (No. 139)
Inequivalent atoms, fractional coordinates:
Sr1 0.0000 0.5000 0.2500 (multiplicity 4)  4 Sb 3.30
Tl1 0.0000 0.0000 0.0000 (multiplicity 2)  8 Sr 4.20, 10 Sb 4.32-4.67
Sb1 0.0000 0.0000 0.3813 (multiplicity 4)  1 Sb 2.91

***

On energetic grounds, run P is preferred over the next structure by 19.1 kJ/mol of atoms.

***

Run P
Below is SrVSb2 after structural relaxation, with properties calculated at the PBE level.

Unit cell a=8.0887 b=8.0887 c=7.1021 alpha=90.00 beta=90.00 gamma=90.00
Last column: nearest neighbours and their distance in Å.
Space group I-42d (No. 122)
Inequivalent atoms, fractional coordinates:
Sr1 0.0000 0.0000 0.0000 (multiplicity 4)  8 Sb 3.31-3.70, 2 V 3.55
V1 0.0000 0.0000 0.5000 (multiplicity 4)  4 Sb 2.72
Sb1 0.1959 0.2500 0.6250 (multiplicity 8)  2 V 2.72

***

Run Q
Below is SrVSb2 after structural relaxation, with properties calculated at the PBE level.

Unit cell a=7.4544 b=7.4544 c=7.4544 alpha=90.00 beta=90.00 gamma=90.00
Last column: nearest neighbours and their distance in Å.
Space group Fm-3m (No. 225)
Inequivalent atoms, fractional coordinates:
Sr1 0.0000 0.0000 0.0000 (multiplicity 4)  8 Sb 3.23
V1 0.0000 0.0000 0.5000 (multiplicity 4)  8 Sb 3.23
Sb1 0.2500 0.2500 0.2500 (multiplicity 8)  4 Sr 3.23, 4 V 3.23

***

On energetic grounds, run P is preferred over the next structure by 6.8 kJ/mol of atoms.